# 1
RbHg3Pt | PBE | relaxed

## Properties
- calculated density (g/cm³) = 9.57
- symmetry = C2/m, No. 12
- total magnetization (μB per formula unit) = 0.0
- VASP energy (eV per atom) = -1.859
- energy above the most stable polymorph in this dataset (eV/f.u.) = 0.018

Lattice parameters (Å, degrees): 7.5605 7.5605 7.5663 119.93 119.93 60.05
Sites, in units of the cell vectors:
Rb1 0.2482 0.2482 0.2500
Rb2 0.7518 0.7518 0.7500
Hg1 0.2500 0.2500 0.7513
Hg2 0.2505 0.7479 0.2505
Hg3 0.2521 0.7495 0.7495
Hg4 0.7479 0.2505 0.2505
Hg5 0.7495 0.2521 0.7495
Hg6 0.7500 0.7500 0.2487
Pt1 0.0000 0.0000 0.5000
Pt2 0.5000 0.5000 0.0000



# 2
FeAu2 | PBE | relaxed

## Properties
- calculated density (g/cm³) = 13.35
- symmetry = Fm-3m, No. 225
- total magnetization (μB per formula unit) = 3.2
- VASP energy (eV per atom) = -4.642
- formation enthalpy at 0 K (kJ/mol of atoms) = 29.48

Lattice parameters (Å, degrees): 4.2925 4.2925 4.2925 60.00 60.00 60.00
Sites, in units of the cell vectors:
Fe1 0.0000 0.0000 0.0000
Au1 0.2500 0.2500 0.2500
Au2 0.7500 0.7500 0.7500



# 3
SmErAl2 | PBE | relaxed

## Properties
- calculated density (g/cm³) = 5.93
- symmetry = Amm2, No. 38
- total magnetization (μB per formula unit) = 0.0
- VASP energy (eV per atom) = -4.559

Lattice parameters (Å, degrees): 4.1673 6.0315 6.0315 43.32 90.00 90.00
Sites, in units of the cell vectors:
Sm1 0.0000 0.0000 0.0000
Er1 0.5000 0.7202 0.7202
Al1 0.0000 0.2843 0.2843
Al2 0.5000 0.4307 0.4307